VASP calculation (PBE with a Hubbard U) on a relaxed LaCrClO4 crystal.

The structure in CIF format:
```
data_LaCrClO4
_chemical_formula_sum 'La4 Cr4 Cl4 O16'
_cell_length_a 10.375
_cell_length_b 7.520
_cell_length_c 6.904
_cell_angle_alpha 90.00
_cell_angle_beta 104.48
_cell_angle_gamma 90.00
_space_group_name_H-M_alt 'C 1 2/m 1'
_space_group_IT_number 12
loop_
_space_group_symop_operation_xyz
'x,y,z'
'-x,-y,-z'
'-x,y,-z'
'x,-y,z'
'x+1/2,y+1/2,z'
'-x+1/2,-y+1/2,-z'
'-x+1/2,y+1/2,-z'
'x+1/2,-y+1/2,z'
loop_
_atom_site_label
_atom_site_type_symbol
_atom_site_fract_x
_atom_site_fract_y
_atom_site_fract_z
_atom_site_occupancy
La1 La 0.225 0.000 0.125 1
Cr1 Cr 0.138 0.500 0.264 1
Cl1 Cl 0.019 0.000 0.763 1
O1 O 0.024 0.500 0.765 1
O2 O 0.186 0.324 0.145 1
O3 O 0.213 0.500 0.504 1
```

Computed properties:
M_tot = 0.00 μB/atom
Electronic total energy = -194.33 eV per cell